[1]
# Li3ZrS4

Crystalline Li3ZrS4 at its relaxed geometry (GGA-PBE, Alexandria via LeMat-Bulk).

Properties
The magnetization comes out at 0.0 μB per formula unit. As for the raw formation energy: -1.238 eV/atom.

abc: 7.4213 10.3922 3.6706
angles: 90.00 90.00 90.00
Last column: nearest neighbours and their distance in Å.
Space group Cmmm (No. 65)
One atom of each set of equivalent atoms:
Li1 0.0000 0.0000 0.0000 [2 per cell]  6 S 2.64-2.65
Li2 0.2500 0.2500 0.5000 [4 per cell]  6 S 2.60-2.61
Zr1 0.0000 0.5000 0.0000 [2 per cell]  6 S 2.54-2.58
S1 0.0000 0.2555 0.0000 [4 per cell]  1 Zr 2.54, 5 Li 2.61-2.65
S2 0.2442 0.5000 0.5000 [4 per cell]  2 Zr 2.58, 4 Li 2.60-2.64

---

[2]
# HoTm2Sc3Sb6

Crystalline HoTm2Sc3Sb6 at its relaxed geometry (GGA-PBE, Alexandria via LeMat-Bulk).

Properties
The magnetization comes out at 0.0 μB per formula unit. As for the raw formation energy: -1.006 eV/atom.

abc: 7.3764 12.7795 7.3644
angles: 90.00 109.49 90.00
Last column: nearest neighbours and their distance in Å.
Space group C2/m (No. 12)
One atom of each set of equivalent atoms:
Ho1 0.0000 0.0000 0.0000 [2 per cell]  6 Sb 3.07
Tm1 0.0000 0.3332 0.0000 [4 per cell]  6 Sb 3.06
Sc1 0.0000 0.1660 0.5000 [4 per cell]  6 Sb 2.96
Sc2 0.0000 0.5000 0.5000 [2 per cell]  6 Sb 2.95-2.97
Sb1 0.2451 0.3327 0.7376 [8 per cell]  3 Sc 2.96-2.97, 2 Tm 3.06, 1 Ho 3.07
Sb2 0.2474 0.0000 0.7381 [4 per cell]  3 Sc 2.95-2.96, 2 Tm 3.06, 1 Ho 3.07

---

[3]
# Zr5HAu2

Crystalline Zr5HAu2 at its relaxed geometry (GGA-PBE, Alexandria via LeMat-Bulk).

Properties
The magnetization comes out at 0.0 μB per formula unit. For the raw total energy, the calculation gives -107.97 eV/cell.

abc: 6.6193 6.6193 7.2820
angles: 90.00 90.00 90.00
Last column: nearest neighbours and their distance in Å.
Space group I4mm (No. 107)
One atom of each set of equivalent atoms:
Zr1 0.0000 0.0000 0.0000 [2 per cell]  1 H 2.08
Zr2 0.2491 0.2491 0.2523 [8 per cell]  1 H 2.37
H1 0.0000 0.0000 0.7141 [2 per cell]  1 Zr 2.08
Au1 0.0000 0.5000 0.0020 [4 per cell]  10 Zr 2.96-3.31

---

[4]
# SrAcTlZn

Crystalline SrAcTlZn at its relaxed geometry (GGA-PBE, Alexandria via LeMat-Bulk).

Properties
The magnetization comes out at 0.0 μB per formula unit. The formation energy is -314 meV per atom.

abc: 8.0521 8.0521 8.0521
angles: 90.00 90.00 90.00
Last column: nearest neighbours and their distance in Å.
Space group F-43m (No. 216)
One atom of each set of equivalent atoms:
Sr1 0.0000 0.0000 0.0000 [4 per cell]  4 Tl 3.49, 4 Zn 3.49
Ac1 0.0000 0.0000 0.5000 [4 per cell]  4 Zn 3.49, 4 Tl 3.49
Tl1 0.2500 0.2500 0.2500 [4 per cell]  4 Ac 3.49, 4 Sr 3.49
Zn1 0.2500 0.2500 0.7500 [4 per cell]  4 Ac 3.49, 4 Sr 3.49

---

Q: Look up the magnetization of the first one.
A: 0.0 μB per formula unit

---

Q: Which value of magnetization does entry 1 give?
A: 0.0 μB per formula unit